! AcPr3Sm6 GGA-PBE relaxed; values from VASP
&SYSTEM
  ibrav = 0, nat = 10, ntyp = 3
/
ATOMIC_SPECIES
Sm 150.36 Sm.upf
Pr 140.91 Pr.upf
Ac 227.00 Ac.upf
CELL_PARAMETERS angstrom
6.4251 0.0000 -2.6078
-2.4200 6.7911 -5.9626
0.3065 -1.8012 9.9742
ATOMIC_POSITIONS crystal
Sm 0.4428 0.5612 0.3665
Sm 0.0763 0.4388 0.6335
Sm 0.1298 0.8394 0.2596
Sm 0.5572 0.4388 0.6335
Sm 0.9237 0.5612 0.3665
Sm 0.8702 0.1606 0.7404
Pr 0.4195 0.0020 0.8391
Pr 0.0000 0.0000 0.0000
Pr 0.5805 0.9980 0.1609
Ac 0.5000 0.5000 0.0000
! Offset from the most stable computed form, meV per atom: 89
! Space-group type: C2/m (12)
! Calculated formation energy, eV/atom: 0.2184